1.
A plane-wave DFT calculation with PBE-GGA was carried out for an optimized crystal structure of CsRuO2F.

The space-group type is No. 123.

a = 3.882 Å, b = 3.882 Å, c = 5.335 Å
α = 90.00°, β = 90.00°, γ = 90.00°
Positions (direct):
Cs  0.000  0.000  0.000
Ru  0.500  0.500  0.500
O  0.000  0.500  0.500
O  0.500  0.000  0.500
F  0.500  0.500  0.000

***

2.
A plane-wave DFT calculation with PBE-GGA was carried out for an optimized crystal structure of Cs2RuO2F4.

The space-group type is No. 12.

a = 6.285 Å, b = 6.285 Å, c = 5.140 Å
α = 90.53°, β = 90.53°, γ = 61.88°
Positions (direct):
Cs  0.162  0.162  0.297
Cs  0.838  0.838  0.703
Ru  0.500  0.500  0.000
O  0.377  0.377  0.778
O  0.623  0.623  0.222
F  0.189  0.641  0.201
F  0.359  0.811  0.799
F  0.641  0.189  0.201
F  0.811  0.359  0.799

***

3.
A plane-wave DFT calculation with PBE-GGA was carried out for an optimized crystal structure of CsRuO2F.

The space-group type is No. 123.

a = 4.457 Å, b = 4.457 Å, c = 5.210 Å
α = 90.00°, β = 90.00°, γ = 90.00°
Positions (direct):
Cs  0.000  0.000  0.000
Ru  0.500  0.500  0.500
O  0.000  0.500  0.000
O  0.500  0.000  0.000
F  0.000  0.000  0.500

***

4.
A plane-wave DFT calculation with PBE-GGA was carried out for an optimized crystal structure of CsSOF2.

The space-group type is No. 123. The excess energy over the best structure of this formula in the dataset comes out at 0.000 eV per formula unit.

a = 4.819 Å, b = 4.819 Å, c = 3.551 Å
α = 90.00°, β = 90.00°, γ = 90.00°
Positions (direct):
Cs  0.000  0.000  0.000
S  0.500  0.500  0.500
O  0.500  0.500  0.000
F  0.000  0.500  0.500
F  0.500  0.000  0.500

***

5.
A plane-wave DFT calculation with PBE-GGA was carried out for an optimized crystal structure of Cs2SO2F4.

The space-group type is No. 12.

a = 6.201 Å, b = 6.201 Å, c = 5.310 Å
α = 93.32°, β = 93.32°, γ = 58.48°
Positions (direct):
Cs  0.162  0.162  0.216
Cs  0.838  0.838  0.784
S  0.500  0.500  0.500
O  0.392  0.392  0.656
O  0.608  0.608  0.344
F  0.210  0.642  0.300
F  0.358  0.790  0.700
F  0.642  0.210  0.300
F  0.790  0.358  0.700

***

6.
A plane-wave DFT calculation with PBE-GGA was carried out for an optimized crystal structure of Cs2SOF5.

The space-group type is No. 107.

a = 6.520 Å, b = 6.520 Å, c = 6.520 Å
α = 121.90°, β = 121.90°, γ = 86.74°
Positions (direct):
Cs  0.000  0.500  0.500
Cs  0.500  0.000  0.500
S  0.262  0.262  0.000
O  0.417  0.417  0.000
F  0.033  0.033  0.000
F  0.039  0.039  0.595
F  0.039  0.445  0.000
F  0.445  0.039  0.000
F  0.445  0.445  0.405

***

7.
A plane-wave DFT calculation with PBE-GGA was carried out for an optimized crystal structure of CsSOF2.

The space-group type is No. 123. The excess energy over the best structure of this formula in the dataset comes out at 7.013 eV per formula unit.

a = 5.184 Å, b = 5.184 Å, c = 4.496 Å
α = 90.00°, β = 90.00°, γ = 90.00°
Positions (direct):
Cs  0.000  0.000  0.000
S  0.500  0.500  0.500
O  0.000  0.000  0.500
F  0.000  0.500  0.000
F  0.500  0.000  0.000

***

8.
A plane-wave DFT calculation with PBE-GGA was carried out for an optimized crystal structure of CsSO3F.

The space-group type is No. 14.

a = 8.056 Å, b = 8.053 Å, c = 8.291 Å
α = 90.00°, β = 116.76°, γ = 90.00°
Positions (direct):
Cs  0.237  0.108  0.237
Cs  0.237  0.392  0.737
Cs  0.763  0.608  0.263
Cs  0.763  0.892  0.763
S  0.236  0.592  0.227
S  0.236  0.908  0.727
S  0.764  0.092  0.273
S  0.764  0.408  0.773
O  0.100  0.716  0.119
O  0.100  0.784  0.619
O  0.183  0.010  0.842
O  0.183  0.490  0.342
O  0.328  0.502  0.138
O  0.328  0.998  0.638
O  0.672  0.002  0.362
O  0.672  0.498  0.862
O  0.817  0.510  0.658
O  0.817  0.990  0.158
O  0.900  0.216  0.381
O  0.900  0.284  0.881
F  0.407  0.708  0.375
F  0.407  0.792  0.875
F  0.593  0.208  0.125
F  0.593  0.292  0.625

***

Computed values of formation energy from raw total energies (unit: eV per formula unit) for the preceding records, in sequence: -6.44 -17.67 4.44 -6.37 -17.17 -18.21 0.64 -11.14.